Record 1
SmTlReO6 | PBE | optimized geometry Values from VASP.

Cell and atoms, written as Quantum ESPRESSO input:
```
&SYSTEM
  ibrav = 0, nat = 9, ntyp = 4
/
ATOMIC_SPECIES
Sm 150.36 Sm.upf
Tl 204.38 Tl.upf
Re 186.21 Re.upf
O 16.00 O.upf
ATOMIC_POSITIONS angstrom
Sm 5.7024 3.2930 2.4772
Tl 8.5533 4.9395 4.9575
Re 2.8510 1.6467 2.4796
O 1.2760 1.7039 1.3999
O 2.1146 0.2533 3.5586
O 4.4266 1.7057 3.5582
O 2.0125 2.9816 3.5586
O 3.6883 2.9826 1.4001
O 3.5893 0.2540 1.3998
CELL_PARAMETERS angstrom
5.7027 0.0003 -0.0004
2.8517 4.9386 0.0002
-0.0004 0.0009 4.9581
```

- spin magnetization (μB/f.u.) = 0.000
- calculated density (kg/m3) = 7575
- E_form (uncorrected) (eV per atom) = -1.7919

---

Record 2
CaInSn4 | PBE | optimized geometry Values from VASP.

Cell and atoms, written as Quantum ESPRESSO input:
```
&SYSTEM
  ibrav = 0, nat = 6, ntyp = 3
/
ATOMIC_SPECIES
Ca 40.08 Ca.upf
Sn 118.71 Sn.upf
In 114.82 In.upf
ATOMIC_POSITIONS angstrom
Ca 3.1294 1.8068 1.2776
Sn 6.2588 3.6135 0.6369
Sn 6.2588 1.8050 3.1946
Sn 7.8250 4.5178 3.1946
Sn 4.6926 4.5178 3.1946
In 0.0000 0.0000 0.0000
CELL_PARAMETERS angstrom
6.2588 0.0000 0.0000
3.1294 5.4203 0.0000
3.1294 1.8068 5.1103
```

- spin magnetization (μB/f.u.) = 0.000
- calculated density (kg/m3) = 6032
- energy relative to the elements (kcal/mol of atoms) = -3.96

---

Record 3
TcAgN2F | PBE | optimized geometry Values from VASP.

Cell and atoms, written as Quantum ESPRESSO input:
```
&SYSTEM
  ibrav = 0, nat = 5, ntyp = 4
/
ATOMIC_SPECIES
N 14.01 N.upf
Tc 98.00 Tc.upf
Ag 107.87 Ag.upf
F 19.00 F.upf
ATOMIC_POSITIONS angstrom
N 1.0240 -1.6046 0.3320
N -0.1111 -0.4586 -1.8737
Tc 0.0000 0.0000 0.0000
Ag -0.8975 -3.1417 -1.1704
F -1.8104 -1.0785 0.3713
CELL_PARAMETERS angstrom
-0.2221 -0.9172 -3.7474
2.0479 -3.2092 0.6641
-3.6209 -2.1570 0.7425
```

- spin magnetization (μB/f.u.) = 0.000
- distance to the lowest polymorph of the same formula (meV per atom) = 0.0
- calculated density (kg/m3) = 6570
- E_form (uncorrected) (eV per atom) = 0.1439

---

Q: What is the spin magnetization in the third record?
A: 0.000 μB/f.u.